Compound: Na2AgPbI5
Source: the Alexandria database
Functional: PBE-GGA
Structure: optimized geometry

```
18
Lattice="-1.506 3.011 3.144 -2.657 -9.251 4.213 14.373 -0.690 7.547" Properties=species:S:1:pos:R:3 pbc="T T T"
Na 8.891 -6.378 13.743
Na 8.830 -1.711 5.869
Na 5.446 -0.750 3.328
Na -1.409 -5.086 7.570
Ag 11.631 -0.936 9.843
Ag 3.380 -6.225 7.582
Pb 5.024 -2.677 8.346
Pb -1.452 -3.934 3.073
I -2.655 -6.363 4.822
I 10.112 -3.001 11.093
I 10.230 0.525 7.773
I 7.844 -4.100 7.685
I 3.934 -5.210 10.249
I 5.965 -0.237 6.459
I 3.704 -4.103 5.704
I 0.777 -7.494 7.550
I -0.295 -2.703 5.822
I -0.313 -1.404 1.195
```

## Properties
Energy in eV/atom: -2.69